[1]
RbSiAgS3 PBE-GGA relaxed; space-group type = Cmcm; relative energy among the computed polymorphs = 0.133 eV per atom
1.0
1.734 -7.882 0.000
1.734 7.882 0.000
0.000 0.000 10.096
S Si Rb Ag
6 2 2 2
direct
0.602 0.398 0.014
0.398 0.602 0.514
0.602 0.398 0.486
0.398 0.602 0.986
0.039 0.961 0.750
0.961 0.039 0.250
0.000 0.000 0.500
0.000 0.000 0.000
0.282 0.718 0.250
0.718 0.282 0.750
0.410 0.590 0.750
0.590 0.410 0.250

---

[2]
RbSiAgTe2S PBE-GGA relaxed; total DFT energy (no corrections) = -41.37 eV per cell; space-group type = Cmcm
1.0
1.914 -7.969 0.000
1.914 7.969 0.000
0.000 0.000 11.154
Rb S Si Ag Te
2 2 2 2 4
direct
0.268 0.732 0.750
0.732 0.268 0.250
0.048 0.952 0.250
0.952 0.048 0.750
0.000 0.000 0.000
0.000 0.000 0.500
0.554 0.446 0.750
0.446 0.554 0.250
0.378 0.622 0.025
0.622 0.378 0.525
0.378 0.622 0.475
0.622 0.378 0.975

---

[3]
RbAg3SnS4 PBE-GGA relaxed; space-group type = P2_1/m; relative energy among the computed polymorphs = 0.000 eV per atom
1.0
-2.457 4.343 4.021
-2.594 -5.668 4.536
9.835 -1.752 3.435
Sn Ag S Rb
2 6 8 2
direct
0.377 0.750 0.215
0.623 0.250 0.785
0.196 0.055 0.960
0.196 0.445 0.960
0.066 0.250 0.709
0.934 0.750 0.291
0.804 0.555 0.040
0.804 0.945 0.040
0.337 0.250 0.587
0.846 0.507 0.784
0.663 0.750 0.413
0.462 0.750 0.000
0.846 0.993 0.784
0.154 0.007 0.216
0.538 0.250 0.000
0.154 0.493 0.216
0.367 0.750 0.640
0.633 0.250 0.360

---

[4]
RbAgSnS3 PBE-GGA relaxed; space-group type = Pnma; relative energy among the computed polymorphs = 0.063 eV per atom
1.0
10.012 0.000 0.000
0.000 4.250 0.000
0.000 0.000 14.836
Ag S Sn Rb
4 12 4 4
direct
0.851 0.750 0.153
0.649 0.250 0.653
0.351 0.750 0.347
0.149 0.250 0.847
0.068 0.750 0.917
0.773 0.250 0.804
0.273 0.250 0.696
0.634 0.750 0.009
0.432 0.250 0.417
0.866 0.250 0.509
0.727 0.750 0.304
0.366 0.250 0.991
0.568 0.750 0.583
0.932 0.250 0.083
0.227 0.750 0.196
0.134 0.750 0.491
0.234 0.750 0.036
0.266 0.250 0.536
0.734 0.750 0.464
0.766 0.250 0.964
0.474 0.750 0.807
0.974 0.750 0.693
0.526 0.250 0.193
0.026 0.250 0.307

---

[5]
RbAgSnS3 PBE-GGA relaxed; space-group type = Pnma; relative energy among the computed polymorphs = 0.007 eV per atom
1.0
-3.784 11.005 -6.365
-3.090 -2.059 -1.723
-6.609 2.709 8.613
S Ag Sn Rb
12 4 4 4
direct
0.389 0.750 0.989
0.611 0.250 0.011
0.540 0.750 0.724
0.820 0.250 0.774
0.040 0.750 0.776
0.320 0.250 0.726
0.111 0.250 0.489
0.180 0.750 0.226
0.460 0.250 0.276
0.680 0.750 0.274
0.889 0.750 0.511
0.960 0.250 0.224
0.722 0.750 0.746
0.222 0.750 0.754
0.778 0.250 0.246
0.278 0.250 0.254
0.528 0.750 0.146
0.972 0.250 0.646
0.472 0.250 0.854
0.028 0.750 0.354
0.848 0.750 0.009
0.152 0.250 0.991
0.348 0.750 0.491
0.652 0.250 0.509

---

[6]
RbAgSnS3 PBE-GGA relaxed; space-group type = Pnma; relative energy among the computed polymorphs = 0.018 eV per atom
1.0
-4.649 -10.822 3.269
0.044 -1.103 -3.590
13.136 -5.119 1.735
Sn S Rb Ag
4 12 4 4
direct
0.014 0.750 0.780
0.486 0.250 0.280
0.514 0.750 0.720
0.986 0.250 0.220
0.478 0.750 0.153
0.978 0.750 0.347
0.583 0.750 0.377
0.303 0.250 0.344
0.803 0.250 0.156
0.522 0.250 0.847
0.083 0.750 0.123
0.022 0.250 0.653
0.197 0.750 0.844
0.417 0.250 0.623
0.917 0.250 0.877
0.697 0.750 0.656
0.793 0.250 0.485
0.293 0.250 0.015
0.707 0.750 0.985
0.207 0.750 0.515
0.771 0.250 0.758
0.271 0.250 0.742
0.729 0.750 0.258
0.229 0.750 0.242

---

[7]
RbAgSnS3 PBE-GGA relaxed; space-group type = P2_1/m; relative energy among the computed polymorphs = 0.006 eV per atom
1.0
8.545 0.000 0.000
0.000 3.983 0.000
-3.256 0.000 9.246
S Ag Sn Rb
6 2 2 2
direct
0.544 0.250 0.868
0.456 0.750 0.132
0.743 0.250 0.416
0.257 0.750 0.584
0.874 0.750 0.129
0.126 0.250 0.871
0.954 0.750 0.400
0.046 0.250 0.600
0.676 0.250 0.143
0.324 0.750 0.857
0.256 0.250 0.293
0.744 0.750 0.707

---

[8]
RbAg3SnS4 PBE-GGA relaxed; space-group type = P-43m; relative energy among the computed polymorphs = 0.048 eV per atom
1.0
6.486 0.000 0.000
0.000 6.486 0.000
0.000 0.000 6.486
Ag S Sn Rb
3 4 1 1
direct
0.500 0.500 0.000
0.000 0.500 0.500
0.500 0.000 0.500
0.715 0.715 0.285
0.715 0.285 0.715
0.285 0.715 0.715
0.285 0.285 0.285
0.500 0.500 0.500
0.000 0.000 0.000

---

[9]
RbAgSnS3 PBE-GGA relaxed; space-group type = Pnma; relative energy among the computed polymorphs = 0.000 eV per atom
1.0
11.078 0.000 0.000
0.000 4.015 0.000
0.000 0.000 13.805
S Sn Ag Rb
12 4 4 4
direct
0.771 0.000 0.816
0.994 0.500 0.393
0.224 0.000 0.963
0.776 0.500 0.037
0.229 0.500 0.184
0.006 0.000 0.607
0.494 0.000 0.107
0.276 0.000 0.463
0.729 0.000 0.316
0.506 0.500 0.893
0.724 0.500 0.537
0.271 0.500 0.684
0.145 0.500 0.534
0.355 0.500 0.034
0.645 0.000 0.966
0.855 0.000 0.466
0.749 0.500 0.213
0.751 0.500 0.713
0.249 0.000 0.287
0.251 0.000 0.787
0.493 0.500 0.350
0.007 0.500 0.850
0.993 0.000 0.150
0.507 0.000 0.650

---

[10]
RbAgSnS3 PBE-GGA relaxed; space-group type = Cmcm; relative energy among the computed polymorphs = 0.069 eV per atom
1.0
1.947 -7.495 0.000
1.947 7.495 0.000
0.000 0.000 10.589
S Ag Sn Rb
6 2 2 2
direct
0.551 0.449 0.250
0.882 0.118 0.028
0.118 0.882 0.528
0.882 0.118 0.472
0.118 0.882 0.972
0.449 0.551 0.750
0.066 0.934 0.750
0.934 0.066 0.250
0.500 0.500 0.000
0.500 0.500 0.500
0.233 0.767 0.250
0.767 0.233 0.750

---

[11]
RbAgSnTeS2 PBE-GGA relaxed; total DFT energy (no corrections) = -43.37 eV per cell; space-group type = Cmcm
1.0
-8.088 -2.274 0.555
7.742 1.113 3.117
-2.781 10.648 3.107
S Ag Rb Sn Te
4 2 2 2 2
direct
0.391 0.609 0.046
0.609 0.391 0.954
0.609 0.391 0.546
0.391 0.609 0.454
0.559 0.441 0.750
0.441 0.559 0.250
0.763 0.237 0.250
0.237 0.763 0.750
0.000 0.000 0.500
0.000 0.000 0.000
0.929 0.071 0.750
0.071 0.929 0.250

---

[12]
Rb2TaAg2S4 PBE-GGA relaxed; total DFT energy (no corrections) = -85.47 eV per cell; space-group type = C2/c
1.0
3.965 -11.234 0.000
3.965 11.234 0.000
-3.469 0.000 5.990
S Ag Rb Ta
8 4 4 2
direct
0.766 0.641 0.064
0.503 0.860 0.153
0.641 0.766 0.564
0.497 0.140 0.847
0.359 0.234 0.436
0.860 0.503 0.653
0.234 0.359 0.936
0.140 0.497 0.347
0.347 0.653 0.750
0.477 0.523 0.750
0.653 0.347 0.250
0.523 0.477 0.250
0.807 0.193 0.750
0.936 0.064 0.250
0.064 0.936 0.750
0.193 0.807 0.250
0.619 0.381 0.750
0.381 0.619 0.250

---

[13]
RbTaAgS3 PBE-GGA relaxed; total DFT energy (no corrections) = -64.50 eV per cell; space-group type = Cmcm
1.0
9.914 0.000 0.000
0.000 1.826 7.626
0.000 -1.826 7.626
S Rb Ta Ag
6 2 2 2
direct
0.225 0.385 0.385
0.725 0.615 0.615
0.775 0.385 0.385
0.000 0.062 0.062
0.275 0.615 0.615
0.500 0.938 0.938
0.500 0.256 0.256
0.000 0.744 0.744
0.250 0.000 0.000
0.750 0.000 0.000
0.000 0.447 0.447
0.500 0.553 0.553

---

[14]
RbZrAgTeS2 PBE-GGA relaxed; total DFT energy (no corrections) = -59.38 eV per cell; space-group type = Cmcm
1.0
-0.612 6.766 4.929
-1.987 -4.519 -6.788
-7.988 -4.713 5.476
S Te Zr Ag Rb
4 2 2 2 2
direct
0.603 0.397 0.952
0.397 0.603 0.452
0.397 0.603 0.048
0.603 0.397 0.548
0.089 0.911 0.250
0.911 0.089 0.750
0.000 0.000 0.000
0.000 0.000 0.500
0.530 0.470 0.750
0.470 0.530 0.250
0.780 0.220 0.250
0.220 0.780 0.750

---

[15]
Rb2ZrAg2TeS3 PBE-GGA relaxed; total DFT energy (no corrections) = -40.31 eV per cell; space-group type = P1
1.0
-1.580 -2.984 5.245
2.728 -5.264 -1.990
7.365 -0.582 2.105
Te Ag Rb Zr S
1 2 2 1 3
direct
0.749 0.367 0.774
0.501 0.982 0.007
0.016 0.495 0.009
0.739 0.006 0.487
0.259 0.502 0.486
0.005 0.994 0.007
0.219 0.112 0.215
0.780 0.676 0.209
0.233 0.866 0.806

---

[16]
RbAgWS3 PBE-GGA relaxed; total DFT energy (no corrections) = -62.41 eV per cell; space-group type = Cmcm
1.0
1.909 -7.488 0.000
1.909 7.488 0.000
0.000 0.000 9.812
W S Rb Ag
2 6 2 2
direct
0.000 0.000 0.000
0.000 0.000 0.500
0.391 0.609 0.021
0.939 0.061 0.750
0.609 0.391 0.521
0.609 0.391 0.979
0.391 0.609 0.479
0.061 0.939 0.250
0.253 0.747 0.750
0.747 0.253 0.250
0.450 0.550 0.250
0.550 0.450 0.750

---

[17]
Rb2AgWS6 PBE-GGA relaxed; total DFT energy (no corrections) = -45.38 eV per cell; space-group type = C2/m
1.0
6.148 -3.421 0.000
6.148 3.421 0.000
-4.255 0.000 5.885
Ag S W Rb
1 6 1 2
direct
0.000 0.000 0.000
0.733 0.240 0.716
0.267 0.760 0.284
0.737 0.737 0.762
0.240 0.733 0.716
0.263 0.263 0.238
0.760 0.267 0.284
0.500 0.500 0.500
0.744 0.744 0.239
0.256 0.256 0.761

---

[18]
RbAg2Sb2 PBE-GGA relaxed; total DFT energy (no corrections) = -15.83 eV per cell; space-group type = I4/mmm
1.0
-1.965 -1.251 -4.289
1.858 -4.489 0.458
-4.857 1.120 4.675
Ag Sb Rb
2 2 1
direct
0.750 0.250 0.500
0.250 0.750 0.500
0.377 0.377 0.755
0.623 0.623 0.245
0.000 0.000 0.000

---

[19]
RbScAg PBE-GGA relaxed; space-group type = F-43m; relative energy among the computed polymorphs = 0.000 eV per atom
1.0
0.000 3.751 3.751
3.751 0.000 3.751
3.751 3.751 0.000
Ag Rb Sc
1 1 1
direct
0.000 0.000 0.000
0.250 0.250 0.250
0.750 0.750 0.750